Hf2CrMo2 (PBE-GGA, relaxed); ΔH_f (0 K) = 5.1 kcal/mol of atoms; V = 182 Å³/cell; electronic total energy = -100.15 eV/cell; total magnetization = 0.000 Bohr magnetons per cell
1.0
6.334 0.000 0.000
0.000 6.334 0.000
0.000 0.000 4.539
Cr Hf Mo
2 4 4
Direct
0.000 0.000 0.000
0.500 0.500 0.000
0.328 0.172 0.500
0.672 0.828 0.500
0.828 0.328 0.500
0.172 0.672 0.500
0.648 0.148 0.000
0.852 0.648 0.000
0.148 0.352 0.000
0.352 0.852 0.000


Ba4MgZn (PBE-GGA, relaxed); ΔH_f (0 K) = -1.8 kcal/mol of atoms; energy above the most stable polymorph in this dataset = 0.0 meV per atom; V = 279 Å³/cell; electronic total energy = -11.04 eV/cell; total magnetization = 0.000 Bohr magnetons per cell
1.0
-4.096 0.938 0.733
0.677 -0.323 4.199
3.518 14.906 0.580
Zn Ba Mg
1 4 1
Direct
0.000 0.000 0.000
0.500 0.500 0.876
0.500 0.500 0.124
0.000 0.000 0.643
0.000 0.000 0.357
0.500 0.500 0.500


Y6Ho16Er7 (PBE-GGA, relaxed); ΔH_f (0 K) = 5.3 kcal/mol of atoms; V = 949 Å³/cell; electronic total energy = -137.31 eV/cell; total magnetization = 3.513 Bohr magnetons per cell
1.0
9.553 0.000 5.515
3.184 9.006 5.515
0.000 0.000 11.031
Ho Er Y
16 7 6
Direct
0.635 0.122 0.122
0.653 0.653 0.653
0.878 0.365 0.878
0.878 0.878 0.878
0.347 0.347 0.960
0.347 0.347 0.347
0.960 0.347 0.347
0.653 0.040 0.653
0.365 0.878 0.878
0.653 0.653 0.040
0.878 0.878 0.365
0.347 0.960 0.347
0.122 0.635 0.122
0.122 0.122 0.122
0.040 0.653 0.653
0.122 0.122 0.635
0.500 0.000 0.500
0.500 0.000 0.000
0.000 0.500 0.500
0.000 0.500 0.000
0.000 0.000 0.000
0.500 0.500 0.000
0.000 0.000 0.500
0.716 0.284 0.284
0.716 0.716 0.284
0.284 0.716 0.284
0.716 0.284 0.716
0.284 0.284 0.716
0.284 0.716 0.716


HoEr2Tl (PBE-GGA, relaxed); ΔH_f (0 K) = -3.8 kcal/mol of atoms; energy above the most stable polymorph in this dataset = 19.3 meV per atom; V = 117 Å³/cell; electronic total energy = -16.72 eV/cell; total magnetization = 0.000 Bohr magnetons per cell
1.0
-3.220 -0.325 -1.548
0.092 -3.544 0.552
-3.992 1.152 8.060
Er Tl Ho
2 1 1
Direct
0.000 0.000 0.769
0.000 0.000 0.231
0.500 0.500 0.000
0.500 0.500 0.500